! Sm2ErAl6 (PBE-GGA, optimized geometry); values from VASP
&SYSTEM
  ibrav = 0, nat = 9, ntyp = 3
/
ATOMIC_SPECIES
Sm 150.36 Sm.upf
Er 167.26 Er.upf
Al 26.98 Al.upf
ATOMIC_POSITIONS crystal
Sm 0.000 0.333 0.667
Sm 0.000 0.667 0.333
Er 0.000 0.000 0.000
Al 0.500 0.331 0.331
Al 0.500 0.669 0.669
Al 0.500 0.000 0.669
Al 0.500 0.669 0.000
Al 0.500 0.331 0.000
Al 0.500 0.000 0.331
CELL_PARAMETERS angstrom
-0.676 -1.615 3.076
1.964 -6.990 -3.238
5.559 4.437 3.551
! * total DFT energy (no corrections): -0.167 Ha/atom
! * SG: P6/mmm (191)
! * energy above the lowest structure with this stoichiometry: 0.000 eV/atom
! * energy of formation: -0.4811 eV per atom
! * N(E_F): 0.453 states/eV/atom